# CoAsPO, optimized geometry, DFT GGA+U
# Offset from the most stable computed form   186 meV/atom
# Volume   17.89 A^3/atom
# E_tot   -0.37485 Ry per atom
data_CoAsPO
_symmetry_space_group_name_H-M 'P 4/n m m'
_symmetry_Int_Tables_number 129
_cell_length_a 4.212
_cell_length_b 4.212
_cell_length_c 8.068
_cell_angle_alpha 90.00
_cell_angle_beta 90.00
_cell_angle_gamma 90.00
loop_
_symmetry_equiv_pos_as_xyz
'x,y,z'
'-x,-y,-z'
'-y+1/2,x,z'
'y+1/2,-x,-z'
'-x+1/2,-y+1/2,z'
'x+1/2,y+1/2,-z'
'y,-x+1/2,z'
'-y,x+1/2,-z'
'x+1/2,-y,-z'
'-x+1/2,y,z'
'-y,-x,-z'
'y,x,z'
'-x,y+1/2,-z'
'x,-y+1/2,z'
'y+1/2,x+1/2,-z'
'-y+1/2,-x+1/2,z'
loop_
_atom_site_label
_atom_site_fract_x
_atom_site_fract_y
_atom_site_fract_z
Co1 0.250 0.250 0.003
As1 0.250 0.750 0.500
P1 0.250 0.250 0.354
O1 0.250 0.750 0.000